Entry 1:
VASP calculation (GGA-PBE) on a relaxed YEr2In crystal.

Summary:
For the electronic total energy, the calculation gives -4.8471 eV per atom. The value obtained for the energy of formation from the pure elements is -265 meV per atom. For the volume, the calculation gives 112.2 Å³ per cell.

The structure in POSCAR format:
```
YEr2In
1.0
-0.897 -4.632 1.078
3.026 0.283 3.733
-3.636 1.367 2.844
Er In Y
2 1 1
Cartesian
-1.818 0.683 1.422
1.513 0.141 1.867
-0.754 -1.491 3.828
-0.449 -2.316 0.539
```


Entry 2:
VASP calculation (GGA-PBE) on a relaxed Y12Er5In2 crystal.

Summary:
For the electronic total energy, the calculation gives -5.5799 eV per atom. The value obtained for the energy of formation from the pure elements is -8 meV per atom. For the volume, the calculation gives 596.1 Å³ per cell.

The structure in POSCAR format:
```
Y12Er5In2
1.0
-6.687 4.957 4.349
-1.492 -3.971 -7.909
-2.408 -6.821 4.073
In Er Y
2 5 12
Cartesian
-2.118 1.570 1.377
-4.569 3.387 2.972
-6.923 -1.179 0.839
-3.663 -4.655 -0.326
-5.409 -7.708 0.468
-5.177 1.873 0.045
-1.204 -3.411 2.037
-2.937 -6.265 2.626
-4.627 0.136 2.873
-4.822 -3.370 2.567
-7.650 0.431 -2.112
-3.245 -1.118 0.035
-3.128 -7.841 -2.262
-7.341 -4.717 0.479
-7.459 2.006 2.775
-5.960 -5.970 -2.359
-5.765 -2.464 -2.053
-7.461 -1.414 4.283
-3.126 -4.421 -3.769
```


Entry 3:
VASP calculation (GGA-PBE) on a relaxed Y8ErIn2 crystal.

Summary:
For the electronic total energy, the calculation gives -5.6696 eV per atom. The value obtained for the energy of formation from the pure elements is -56 meV per atom. For the volume, the calculation gives 346.0 Å³ per cell.

The structure in POSCAR format:
```
Y8ErIn2
1.0
5.622 -0.331 -0.496
-1.420 8.628 -0.672
-1.420 -3.943 7.704
Y Er In
8 1 2
Cartesian
2.706 1.970 6.095
2.813 1.649 2.476
0.077 -0.511 2.371
0.077 2.385 0.441
-0.030 2.705 4.060
1.391 5.736 0.897
1.391 -1.381 5.639
2.706 4.866 4.165
2.811 -0.165 -0.248
-1.420 4.775 1.895
-1.420 -0.090 5.137
```


Entry 4:
VASP calculation (GGA-PBE) on a relaxed YEr3In3 crystal.

Summary:
For the electronic total energy, the calculation gives -4.3604 eV per atom. The value obtained for the energy of formation from the pure elements is -308 meV per atom. For the volume, the calculation gives 795.0 Å³ per cell.

The structure in POSCAR format:
```
YEr3In3
1.0
9.264 0.000 0.000
0.000 9.264 0.000
0.000 0.000 9.264
In Er Y
12 12 4
Cartesian
4.623 2.406 1.129
2.225 8.135 9.255
1.129 4.623 2.406
8.135 9.255 2.225
2.406 1.129 4.623
9.255 2.225 8.135
5.761 0.008 6.857
0.008 6.857 5.761
7.038 3.503 4.640
4.640 7.038 3.503
3.503 4.640 7.038
6.857 5.761 0.008
7.644 3.012 1.620
6.280 2.984 7.616
1.620 7.644 3.012
0.771 3.860 5.403
2.984 7.616 6.280
3.860 5.403 0.771
1.648 1.648 1.648
8.492 8.492 8.492
6.252 6.252 6.252
7.616 6.280 2.984
5.403 0.771 3.860
3.012 1.620 7.644
0.634 5.266 8.630
3.998 3.998 3.998
8.630 0.634 5.266
5.266 8.630 0.634
```